KVBr2F PBE with a Hubbard U optimized geometry; uncorrected energy = -4.460 eV/atom
1.0
5.4734 0.0000 0.0000
0.0000 5.4734 0.0000
0.0000 0.0000 4.1683
K V Br F
1 1 2 1
Cartesian
0.0000 0.0000 0.0000 K
2.7367 2.7367 2.0841 V
0.0000 2.7367 2.0841 Br
2.7367 0.0000 2.0841 Br
2.7367 2.7367 0.0000 F